(1)
VASP calculation (PBE) on a geometry-optimized MgCoCl structure.

Uncorrected energy ... -10.493 eV/f.u.
Formation energy from raw total energies ... 18 meV per atom
Symmetry ... Pnma (62)
Polymorph energy (0 for the lowest one) ... 0.6721 eV/atom

abc: 8.8069 3.1545 7.2915
angles: 90.00 90.00 90.00
Fractional coordinates of all 12 atoms:
Cl: 0.8211 0.2500 0.4865
Cl: 0.1789 0.7500 0.5135
Cl: 0.6789 0.7500 0.9865
Cl: 0.3211 0.2500 0.0135
Co: 0.7045 0.7500 0.6777
Co: 0.2045 0.7500 0.8223
Co: 0.7955 0.2500 0.1777
Co: 0.2955 0.2500 0.3223
Mg: 0.5478 0.7500 0.3254
Mg: 0.9522 0.2500 0.8254
Mg: 0.0478 0.7500 0.1746
Mg: 0.4522 0.2500 0.6746

***

(2)
VASP calculation (PBE) on a geometry-optimized MgCoCl structure.

Uncorrected energy ... -9.833 eV/f.u.
Formation energy from raw total energies ... 238 meV per atom
Symmetry ... P6_3/mmc (194)
Polymorph energy (0 for the lowest one) ... 0.8921 eV/atom

abc: 3.7979 3.7979 7.9128
angles: 90.00 90.00 120.00
Fractional coordinates of all 6 atoms:
Co: 0.6667 0.3333 0.2500
Co: 0.3333 0.6667 0.7500
Cl: 0.6667 0.3333 0.7500
Cl: 0.3333 0.6667 0.2500
Mg: 0.0000 0.0000 0.0000
Mg: 0.0000 0.0000 0.5000

***

(3)
VASP calculation (PBE) on a geometry-optimized MgCo3Cl structure.

Uncorrected energy ... -21.942 eV/f.u.
Formation energy from raw total energies ... 563 meV per atom
Symmetry ... Pm-3m (221)
Polymorph energy (0 for the lowest one) ... 0.0000 eV/atom

abc: 4.1278 4.1278 4.1278
angles: 90.00 90.00 90.00
Fractional coordinates of all 5 atoms:
Co: 0.0000 0.0000 0.5000
Co: 0.5000 0.0000 0.0000
Co: 0.0000 0.5000 0.0000
Mg: 0.5000 0.5000 0.5000
Cl: 0.0000 0.0000 0.0000

***

(4)
VASP calculation (PBE) on a geometry-optimized MgCoCl2 structure.

Uncorrected energy ... -14.065 eV/f.u.
Formation energy from raw total energies ... -418 meV per atom
Symmetry ... R-3m (166)
Polymorph energy (0 for the lowest one) ... 0.2030 eV/atom

abc: 7.5344 7.5344 7.5344
angles: 27.16 27.16 27.16
Fractional coordinates of all 4 atoms:
Mg: 0.5000 0.5000 0.5000
Cl: 0.8997 0.8997 0.8997
Cl: 0.1003 0.1003 0.1003
Co: 0.0000 0.0000 0.0000

***

(5)
VASP calculation (PBE) on a geometry-optimized MgCoCl structure.

Uncorrected energy ... -12.510 eV/f.u.
Formation energy from raw total energies ... -654 meV per atom
Symmetry ... P-1 (2)
Polymorph energy (0 for the lowest one) ... 0.0000 eV/atom

abc: 10.8365 3.6865 3.6865
angles: 60.02 79.75 89.48
Fractional coordinates of all 6 atoms:
Mg: 0.7728 0.2785 0.7979
Mg: 0.1480 0.3956 0.5430
Co: 0.9599 0.0038 0.3371
Co: 0.9610 0.6708 0.0030
Cl: 0.2806 0.1039 0.1200
Cl: 0.6402 0.5700 0.2210

***

(6)
VASP calculation (PBE) on a geometry-optimized MgCoCl2 structure.

Uncorrected energy ... -11.455 eV/f.u.
Formation energy from raw total energies ... 235 meV per atom
Symmetry ... F-43m (216)
Polymorph energy (0 for the lowest one) ... 0.8555 eV/atom

abc: 4.7600 4.7600 4.7600
angles: 60.00 60.00 60.00
Fractional coordinates of all 4 atoms:
Cl: 0.0000 0.0000 0.0000
Cl: 0.7500 0.7500 0.7500
Mg: 0.2500 0.2500 0.2500
Co: 0.5000 0.5000 0.5000

***

(7)
VASP calculation (PBE) on a geometry-optimized MgCoCl2 structure.

Uncorrected energy ... -14.605 eV/f.u.
Formation energy from raw total energies ... -553 meV per atom
Symmetry ... Immm (71)
Polymorph energy (0 for the lowest one) ... 0.0681 eV/atom

abc: 7.0265 7.0265 7.0265
angles: 150.31 147.41 44.66
Fractional coordinates of all 4 atoms:
Co: 0.7500 0.2500 0.5000
Mg: 0.2500 0.7500 0.5000
Cl: 0.8736 0.8736 0.0000
Cl: 0.6264 0.6264 0.0000

***

(8)
VASP calculation (PBE) on a geometry-optimized MgCoCl2 structure.

Uncorrected energy ... -14.623 eV/f.u.
Formation energy from raw total energies ... -557 meV per atom
Symmetry ... C2/m (12)
Polymorph energy (0 for the lowest one) ... 0.0634 eV/atom

abc: 6.8882 6.8882 3.8561
angles: 81.99 81.99 31.84
Fractional coordinates of all 4 atoms:
Cl: 0.8752 0.8752 0.0762
Cl: 0.6248 0.6248 0.4238
Mg: 0.2500 0.2500 0.2500
Co: 0.7500 0.7500 0.7500

***

(9)
VASP calculation (PBE) on a geometry-optimized MgCoCl structure.

Uncorrected energy ... -12.276 eV/f.u.
Formation energy from raw total energies ... -576 meV per atom
Symmetry ... C2/m (12)
Polymorph energy (0 for the lowest one) ... 0.0780 eV/atom

abc: 10.8754 3.2807 3.2809
angles: 90.00 90.30 89.74
Fractional coordinates of all 6 atoms:
Mg: 0.7546 0.2574 0.5347
Mg: 0.1662 0.7500 0.0438
Co: 0.9604 0.2540 0.0388
Co: 0.9604 0.7541 0.5389
Cl: 0.2860 0.2485 0.5448
Cl: 0.6349 0.7587 0.0335

***

(10)
VASP calculation (PBE) on a geometry-optimized MgCoCl structure.

Uncorrected energy ... -9.131 eV/f.u.
Formation energy from raw total energies ... 472 meV per atom
Symmetry ... F-43m (216)
Polymorph energy (0 for the lowest one) ... 1.1261 eV/atom

abc: 4.5465 4.5465 4.5465
angles: 60.00 60.00 60.00
Fractional coordinates of all 3 atoms:
Cl: 0.0000 0.0000 0.0000
Co: 0.5000 0.5000 0.5000
Mg: 0.7500 0.7500 0.7500

***

(11)
VASP calculation (PBE) on a geometry-optimized MgCoCl2 structure.

Uncorrected energy ... -13.744 eV/f.u.
Formation energy from raw total energies ... -338 meV per atom
Symmetry ... R-3m (166)
Polymorph energy (0 for the lowest one) ... 0.2831 eV/atom

abc: 8.9436 8.9436 8.9436
angles: 21.99 21.99 21.99
Fractional coordinates of all 4 atoms:
Mg: 0.7500 0.7500 0.7500
Cl: 0.9710 0.9710 0.9710
Cl: 0.5290 0.5290 0.5290
Co: 0.2500 0.2500 0.2500

***

(12)
VASP calculation (PBE) on a geometry-optimized MgCoCl structure.

Uncorrected energy ... -12.188 eV/f.u.
Formation energy from raw total energies ... -547 meV per atom
Symmetry ... C2/m (12)
Polymorph energy (0 for the lowest one) ... 0.1073 eV/atom

abc: 3.6442 11.4894 3.6411
angles: 86.04 119.95 84.82
Fractional coordinates of all 6 atoms:
Co: 0.1615 0.9867 0.2326
Co: 0.8496 0.9450 0.5857
Mg: 0.7337 0.1697 0.4788
Mg: 0.2798 0.7621 0.3400
Cl: 0.6771 0.6403 0.0653
Cl: 0.3363 0.2914 0.7537